# 1
# CsCuSbSe2

A relaxed structure of CsCuSbSe2 (GGA-PBE, the Alexandria database).

CIF file:
```
data_CsCuSbSe2
_chemical_formula_sum 'Cs2 Cu2 Sb2 Se4'
_space_group_name_H-M_alt 'P 1 2/c 1'
_space_group_IT_number 13
_space_group_name_Hall '-P 2yc'
_cell_length_a 7.986
_cell_length_b 5.580
_cell_length_c 7.784
_cell_angle_alpha 90.00
_cell_angle_beta 101.07
_cell_angle_gamma 90.00
loop_
_atom_site_label
_atom_site_fract_x
_atom_site_fract_y
_atom_site_fract_z
Cs1 0.000 0.223 0.250
Cu1 0.500 0.000 0.000
Sb1 0.500 0.359 0.250
Se1 0.293 0.283 0.908
```

Computed properties:
As for the uncorrected formation energy: -0.402 eV/atom. The density of states at the Fermi level is 2.46 states/eV/f.u.

# 2
# Zr3ZnGe

A relaxed structure of Zr3ZnGe (GGA-PBE, the Alexandria database).

CIF file:
```
data_Zr3ZnGe
_chemical_formula_sum 'Zr3 Zn1 Ge1'
_space_group_name_H-M_alt 'P m -3 m'
_space_group_IT_number 221
_space_group_name_Hall '-P 4 2 3'
_cell_length_a 5.008
_cell_length_b 5.008
_cell_length_c 5.008
_cell_angle_alpha 90.00
_cell_angle_beta 90.00
_cell_angle_gamma 90.00
loop_
_atom_site_label
_atom_site_fract_x
_atom_site_fract_y
_atom_site_fract_z
Zr1 0.000 0.000 0.500
Zn1 0.500 0.500 0.500
Ge1 0.000 0.000 0.000
```

Computed properties:
The density of states at the Fermi level is 3.49 states/eV/f.u. Its offset from the most stable computed form is 0.0000 eV per atom. The formation energy comes out at 0.287 eV per atom.

# 3
# SrThSi

A relaxed structure of SrThSi (GGA-PBE, the Alexandria database).

CIF file:
```
data_SrThSi
_chemical_formula_sum 'Sr2 Th2 Si2'
_space_group_name_H-M_alt 'P 4/m m m'
_space_group_IT_number 123
_space_group_name_Hall '-P 4 2'
_cell_length_a 3.663
_cell_length_b 3.663
_cell_length_c 14.018
_cell_angle_alpha 90.00
_cell_angle_beta 90.00
_cell_angle_gamma 90.00
loop_
_atom_site_label
_atom_site_fract_x
_atom_site_fract_y
_atom_site_fract_z
Sr1 0.000 0.000 0.141
Th1 0.500 0.500 0.383
Si1 0.000 0.000 0.500
Si2 0.500 0.500 0.000
```

Computed properties:
As for the uncorrected formation energy: -0.121 eV/atom. The density of states at the Fermi level is 3.31 states/eV/f.u.

# 4
# TlCr2Os

A relaxed structure of TlCr2Os (GGA-PBE, the Alexandria database).

CIF file:
```
data_TlCr2Os
_chemical_formula_sum 'Tl2 Cr4 Os2'
_space_group_name_H-M_alt 'C m m m'
_space_group_IT_number 65
_space_group_name_Hall '-C 2 2'
_cell_length_a 5.799
_cell_length_b 7.348
_cell_length_c 2.965
_cell_angle_alpha 90.00
_cell_angle_beta 90.00
_cell_angle_gamma 90.00
loop_
_atom_site_label
_atom_site_fract_x
_atom_site_fract_y
_atom_site_fract_z
Tl1 0.000 0.000 0.000
Cr1 0.250 0.250 0.500
Os1 0.000 0.500 0.000
```

Computed properties:
The density of states at the Fermi level is 4.09 states/eV/f.u. Its offset from the most stable computed form is 0.2241 eV per atom. The formation energy comes out at 0.707 eV per atom.

# 5
# BeCoRhAu2

A relaxed structure of BeCoRhAu2 (GGA-PBE, the Alexandria database).

CIF file:
```
data_BeCoRhAu2
_chemical_formula_sum 'Be1 Co1 Rh1 Au2'
_space_group_name_H-M_alt 'P 4/m m m'
_space_group_IT_number 123
_space_group_name_Hall '-P 4 2'
_cell_length_a 4.713
_cell_length_b 4.713
_cell_length_c 4.427
_cell_angle_alpha 90.00
_cell_angle_beta 90.00
_cell_angle_gamma 90.00
loop_
_atom_site_label
_atom_site_fract_x
_atom_site_fract_y
_atom_site_fract_z
Be1 0.000 0.000 0.000
Co1 0.500 0.500 0.500
Rh1 0.500 0.500 0.000
Au1 0.000 0.500 0.500
```

Computed properties:
The density of states at the Fermi level is 5.85 states/eV/f.u. The formation energy comes out at 1.175 eV per atom.

# 6
# LiCa3Cd3

A relaxed structure of LiCa3Cd3 (GGA-PBE, the Alexandria database).

CIF file:
```
data_LiCa3Cd3
_chemical_formula_sum 'Li4 Ca12 Cd12'
_space_group_name_H-M_alt 'C 1 2/m 1'
_space_group_IT_number 12
_space_group_name_Hall '-C 2y'
_cell_length_a 11.764
_cell_length_b 4.678
_cell_length_c 15.639
_cell_angle_alpha 90.00
_cell_angle_beta 110.17
_cell_angle_gamma 90.00
loop_
_atom_site_label
_atom_site_fract_x
_atom_site_fract_y
_atom_site_fract_z
Li1 0.237 0.000 0.406
Ca1 0.025 0.500 0.381
Ca2 0.107 0.500 0.922
Ca3 0.246 0.500 0.228
Cd1 0.035 0.000 0.236
Cd2 0.114 0.000 0.077
Cd3 0.133 0.000 0.548
```

Computed properties:
The density of states at the Fermi level is 4.93 states/eV/f.u. The formation energy comes out at -0.268 eV per atom.

Going through the records in order, we get total DFT energy (no corrections) values of -3.61; -6.02; -4.96; -7.50; -3.77; -1.79 eV per atom.